(1)
Below is a geometry-optimized NdGdLuAl structure, with properties calculated at the PBE level.

Values from the calculation:
Magnetic moment in μB/f.u.: 7.93
Energy in eV/cell: -109.90
E_form in meV per atom: -90
N(E_F) in states/eV per cell: 20.56

extended XYZ file:
```
16
Lattice="7.6125 0.0000 0.0000 0.0000 7.6125 0.0000 0.0000 0.0000 7.6125" Properties=species:S:1:pos:R:3 pbc="T T T"
Nd 0.0000 0.0000 0.0000
Nd 0.0000 3.8062 3.8062
Nd 3.8062 0.0000 3.8062
Nd 3.8062 3.8062 0.0000
Gd 0.0000 0.0000 3.8062
Gd 0.0000 3.8062 0.0000
Gd 3.8062 0.0000 0.0000
Gd 3.8062 3.8062 3.8062
Lu 1.9031 1.9031 5.7093
Lu 1.9031 5.7093 1.9031
Lu 5.7093 1.9031 1.9031
Lu 5.7093 5.7093 5.7093
Al 1.9031 1.9031 1.9031
Al 1.9031 5.7093 5.7093
Al 5.7093 1.9031 5.7093
Al 5.7093 5.7093 1.9031
```

(2)
Below is a geometry-optimized GdLuAlNi structure, with properties calculated at the PBE level.

Values from the calculation:
Magnetic moment in μB/f.u.: 7.14
Energy in eV/cell: -117.71
E_form in meV per atom: -325
N(E_F) in states/eV per cell: 13.43

extended XYZ file:
```
16
Lattice="6.9827 0.0000 0.0000 0.0000 6.9827 0.0000 0.0000 0.0000 6.9827" Properties=species:S:1:pos:R:3 pbc="T T T"
Gd 0.0000 0.0000 0.0000
Gd 0.0000 3.4913 3.4913
Gd 3.4913 0.0000 3.4913
Gd 3.4913 3.4913 0.0000
Lu 0.0000 0.0000 3.4913
Lu 0.0000 3.4913 0.0000
Lu 3.4913 0.0000 0.0000
Lu 3.4913 3.4913 3.4913
Al 1.7457 1.7457 5.2370
Al 1.7457 5.2370 1.7457
Al 5.2370 1.7457 1.7457
Al 5.2370 5.2370 5.2370
Ni 1.7457 1.7457 1.7457
Ni 1.7457 5.2370 5.2370
Ni 5.2370 1.7457 5.2370
Ni 5.2370 5.2370 1.7457
```

(3)
Below is a geometry-optimized GdLuAlOs structure, with properties calculated at the PBE level.

Values from the calculation:
Magnetic moment in μB/f.u.: 6.96
Energy in eV/cell: -138.82
E_form in meV per atom: -283
N(E_F) in states/eV per cell: 8.22

extended XYZ file:
```
16
Lattice="6.9415 0.0000 0.0000 0.0000 6.9415 0.0000 0.0000 0.0000 6.9415" Properties=species:S:1:pos:R:3 pbc="T T T"
Gd 0.0000 0.0000 0.0000
Gd 0.0000 3.4708 3.4708
Gd 3.4708 0.0000 3.4708
Gd 3.4708 3.4708 0.0000
Lu 0.0000 0.0000 3.4708
Lu 0.0000 3.4708 0.0000
Lu 3.4708 0.0000 0.0000
Lu 3.4708 3.4708 3.4708
Al 1.7354 1.7354 5.2061
Al 1.7354 5.2061 1.7354
Al 5.2061 1.7354 1.7354
Al 5.2061 5.2061 5.2061
Os 1.7354 1.7354 1.7354
Os 1.7354 5.2061 5.2061
Os 5.2061 1.7354 5.2061
Os 5.2061 5.2061 1.7354
```

(4)
Below is a geometry-optimized PmGdLuAl structure, with properties calculated at the PBE level.

Values from the calculation:
Magnetic moment in μB/f.u.: 7.88
Energy in eV/cell: -109.86
E_form in meV per atom: -93
N(E_F) in states/eV per cell: 21.19

extended XYZ file:
```
16
Lattice="7.5921 0.0000 0.0000 0.0000 7.5921 0.0000 0.0000 0.0000 7.5921" Properties=species:S:1:pos:R:3 pbc="T T T"
Pm 0.0000 0.0000 0.0000
Pm 0.0000 3.7961 3.7961
Pm 3.7961 0.0000 3.7961
Pm 3.7961 3.7961 0.0000
Gd 0.0000 0.0000 3.7961
Gd 0.0000 3.7961 0.0000
Gd 3.7961 0.0000 0.0000
Gd 3.7961 3.7961 3.7961
Lu 1.8980 1.8980 1.8980
Lu 1.8980 5.6941 5.6941
Lu 5.6941 1.8980 5.6941
Lu 5.6941 5.6941 1.8980
Al 1.8980 1.8980 5.6941
Al 1.8980 5.6941 1.8980
Al 5.6941 1.8980 1.8980
Al 5.6941 5.6941 5.6941
```